# 1
Entry from Alexandria: a geometry-optimized Zn4CoNi structure (PBE-GGA). Values from VASP.

The volume is 15.1 A^3/atom. As for the energy: -37.19 eV for the cell shown. Its calculated formation energy is -0.102 eV per atom. The energy above the most stable polymorph in this dataset is 0 meV per atom. Its space group is Cmcm (63).

Structure (Quantum ESPRESSO input):
```
&SYSTEM
  ibrav = 0, nat = 12, ntyp = 3
/
ATOMIC_SPECIES
Co 58.93 Co.upf
Ni 58.69 Ni.upf
Zn 65.41 Zn.upf
ATOMIC_POSITIONS crystal
Co 0.9999 0.0003 0.2500
Ni 0.4999 0.5006 0.2500
Zn 0.5001 0.0006 0.2500
Zn 0.4999 0.9994 0.7500
Zn 0.0001 0.4996 0.7500
Ni 0.5001 0.4994 0.7500
Zn 0.7538 0.7538 0.5000
Zn 0.2462 0.2462 0.5000
Zn 0.2462 0.2462 0.0000
Zn 0.7538 0.7538 0.0000
Co 0.0001 0.9997 0.7500
Zn 0.9999 0.5004 0.2500
CELL_PARAMETERS angstrom
-4.0346 2.0059 -1.9716
0.7298 -4.7231 -1.1630
-4.3857 -2.3091 6.6256
```


# 2
Entry from Alexandria: a geometry-optimized BeAuBr2 structure (PBE-GGA). Values from VASP.

The volume is 25.3 A^3/atom. As for the energy: -8.78 eV for the cell shown. The energy above the most stable polymorph in this dataset is 666 meV per atom. Its space group is P4/mmm (123).

Structure (Quantum ESPRESSO input):
```
&SYSTEM
  ibrav = 0, nat = 4, ntyp = 3
/
ATOMIC_SPECIES
Be 9.01 Be.upf
Au 196.97 Au.upf
Br 79.90 Br.upf
ATOMIC_POSITIONS crystal
Be 0.5000 0.5000 0.7500
Au 0.5000 0.5000 0.2500
Br 0.0000 0.0000 0.6028
Br 0.0000 0.0000 0.8972
CELL_PARAMETERS angstrom
3.1082 0.0000 0.0000
0.0000 3.1082 0.0000
0.0000 0.0000 10.4861
```


# 3
Entry from Alexandria: a geometry-optimized TmTh2 structure (PBE-GGA). Values from VASP.

The volume is 31.6 A^3/atom. As for the energy: -76.72 eV for the cell shown. Its calculated formation energy is 0.044 eV per atom. The energy above the most stable polymorph in this dataset is 0 meV per atom. Its space group is Pnma (62).

Structure (Quantum ESPRESSO input):
```
&SYSTEM
  ibrav = 0, nat = 12, ntyp = 2
/
ATOMIC_SPECIES
Tm 168.93 Tm.upf
Th 232.04 Th.upf
ATOMIC_POSITIONS crystal
Tm 0.7500 0.8772 0.0835
Th 0.7500 0.8756 0.4168
Tm 0.7500 0.3772 0.4165
Tm 0.2500 0.1228 0.9165
Th 0.2500 0.6250 0.2485
Tm 0.2500 0.6228 0.5835
Th 0.2500 0.1244 0.5832
Th 0.7500 0.3756 0.0832
Th 0.7500 0.3750 0.7515
Th 0.2500 0.1250 0.2515
Th 0.7500 0.8750 0.7485
Th 0.2500 0.6244 0.9168
CELL_PARAMETERS angstrom
-3.4373 -1.6600 3.2150
5.1483 -2.3114 4.3108
0.0831 9.4781 4.9827
```


# 4
Entry from Alexandria: a geometry-optimized Tm2ZrS6 structure (PBE-GGA). Values from VASP.

The volume is 25.4 A^3/atom. As for the energy: -109.17 eV for the cell shown. Its space group is P4_2/mnm (136).

Structure (Quantum ESPRESSO input):
```
&SYSTEM
  ibrav = 0, nat = 18, ntyp = 3
/
ATOMIC_SPECIES
Tm 168.93 Tm.upf
S 32.06 S.upf
Zr 91.22 Zr.upf
ATOMIC_POSITIONS crystal
Tm 0.0000 0.0000 0.6696
S 0.2925 0.2925 0.0000
S 0.8022 0.1978 0.1579
S 0.3022 0.3022 0.6579
S 0.7075 0.7075 0.0000
Tm 0.0000 0.0000 0.3304
S 0.2075 0.7925 0.5000
Tm 0.5000 0.5000 0.8304
S 0.1978 0.8022 0.8421
Zr 0.0000 0.0000 0.0000
S 0.6978 0.6978 0.3421
S 0.3022 0.3022 0.3421
S 0.8022 0.1978 0.8421
S 0.1978 0.8022 0.1579
Tm 0.5000 0.5000 0.1696
S 0.6978 0.6978 0.6579
S 0.7925 0.2075 0.5000
Zr 0.5000 0.5000 0.5000
CELL_PARAMETERS angstrom
-5.2111 0.5879 -3.3835
-1.2072 -6.0699 0.8045
-6.0587 2.4992 9.7656
```


# 5
Entry from Alexandria: a geometry-optimized PmDy2Te5 structure (PBE-GGA). Values from VASP.

The volume is 29.7 A^3/atom. As for the energy: -78.55 eV for the cell shown. Its space group is I4/mcm (140).

Structure (Quantum ESPRESSO input):
```
&SYSTEM
  ibrav = 0, nat = 16, ntyp = 3
/
ATOMIC_SPECIES
Pm 145.00 Pm.upf
Te 127.60 Te.upf
Dy 162.50 Dy.upf
ATOMIC_POSITIONS crystal
Pm 0.2500 0.2500 0.5000
Te 0.9897 0.4897 0.2955
Dy 0.1510 0.3490 0.0000
Dy 0.8490 0.6510 0.0000
Te 0.6941 0.1941 0.7045
Te 0.5000 0.5000 0.0000
Pm 0.7500 0.7500 0.5000
Dy 0.6510 0.1510 0.0000
Te 0.0000 0.0000 0.0000
Dy 0.3490 0.8490 0.0000
Te 0.4897 0.3059 0.2955
Te 0.1941 0.0103 0.7045
Te 0.8059 0.9897 0.2955
Te 0.3059 0.8059 0.2955
Te 0.0103 0.5103 0.7045
Te 0.5103 0.6941 0.7045
CELL_PARAMETERS angstrom
8.1493 0.0000 0.0000
0.0000 8.1493 0.0000
-4.0747 -4.0747 7.1619
```


# 6
Entry from Alexandria: a geometry-optimized K4Mo3 structure (PBE-GGA). Values from VASP.

The volume is 40.9 A^3/atom. As for the energy: -28.53 eV for the cell shown. Its calculated formation energy is 1.193 eV per atom. Its space group is P6/mmm (191).

Structure (Quantum ESPRESSO input):
```
&SYSTEM
  ibrav = 0, nat = 7, ntyp = 2
/
ATOMIC_SPECIES
Mo 95.94 Mo.upf
K 39.10 K.upf
ATOMIC_POSITIONS crystal
Mo 0.0000 0.5000 0.0000
K 0.6667 0.3333 0.5000
Mo 0.5000 0.0000 0.0000
K 0.3333 0.6667 0.5000
Mo 0.5000 0.5000 0.0000
K 0.0000 0.0000 0.7936
K 0.0000 0.0000 0.2064
CELL_PARAMETERS angstrom
2.5326 -4.3867 0.0000
2.5326 4.3867 0.0000
0.0000 0.0000 12.8829
```


# 7
Entry from Alexandria: a geometry-optimized Ca2SbPb structure (PBE-GGA). Values from VASP.

The volume is 29.4 A^3/atom. As for the energy: -14.48 eV for the cell shown. The energy above the most stable polymorph in this dataset is 24 meV per atom. Its space group is Immm (71).

Structure (Quantum ESPRESSO input):
```
&SYSTEM
  ibrav = 0, nat = 4, ntyp = 3
/
ATOMIC_SPECIES
Sb 121.76 Sb.upf
Ca 40.08 Ca.upf
Pb 207.20 Pb.upf
ATOMIC_POSITIONS crystal
Sb 0.2500 0.7500 0.5000
Ca 0.0002 0.0002 0.0000
Pb 0.7500 0.2500 0.5000
Ca 0.4998 0.4998 0.0000
CELL_PARAMETERS angstrom
-2.5471 1.6546 4.8870
-4.4244 -3.6647 0.3207
5.5525 -1.3187 -0.7341
```


# 8
Entry from Alexandria: a geometry-optimized Pa3Zn9Ni2 structure (PBE-GGA). Values from VASP.

The volume is 17.0 A^3/atom. As for the energy: -53.72 eV for the cell shown. Its calculated formation energy is -0.157 eV per atom. Its space group is Immm (71).

Structure (Quantum ESPRESSO input):
```
&SYSTEM
  ibrav = 0, nat = 14, ntyp = 3
/
ATOMIC_SPECIES
Pa 231.04 Pa.upf
Zn 65.41 Zn.upf
Ni 58.69 Ni.upf
ATOMIC_POSITIONS crystal
Pa 0.2949 0.7051 0.7051
Zn 0.6461 0.9960 0.7118
Pa 0.7051 0.2949 0.2949
Ni 0.5000 0.6523 0.3477
Pa 0.0000 0.0000 0.0000
Zn 0.8644 0.8519 0.4193
Zn 0.3539 0.2882 0.0040
Zn 0.3539 0.0040 0.2882
Zn 0.6461 0.7118 0.9960
Zn 0.8644 0.4193 0.8519
Zn 0.1356 0.1481 0.5807
Zn 0.1356 0.5807 0.1481
Ni 0.5000 0.3477 0.6523
Zn 0.0000 0.5000 0.5000
CELL_PARAMETERS angstrom
-4.1510 -0.1256 1.5925
0.1030 -4.8321 6.0987
0.0057 4.1908 6.5567
```


# 9
Entry from Alexandria: a geometry-optimized PuPaCrS6 structure (PBE-GGA). Values from VASP.

The volume is 23.0 A^3/atom. As for the energy: -68.29 eV for the cell shown. Its space group is P312 (149).

Structure (Quantum ESPRESSO input):
```
&SYSTEM
  ibrav = 0, nat = 9, ntyp = 4
/
ATOMIC_SPECIES
Pu 244.00 Pu.upf
Pa 231.04 Pa.upf
S 32.06 S.upf
Cr 52.00 Cr.upf
ATOMIC_POSITIONS crystal
Pu 0.5000 0.6667 0.3333
Pa 0.0000 0.3333 0.6667
S 0.7413 0.6903 0.6985
Cr 0.5000 0.0000 0.0000
S 0.7413 0.0082 0.3097
S 0.2587 0.3015 0.3097
S 0.2587 0.0082 0.6985
S 0.2587 0.6903 0.9918
S 0.7413 0.3015 0.9918
CELL_PARAMETERS angstrom
5.9445 0.0000 0.0000
0.0000 6.3473 0.0000
0.0000 -3.1736 5.4969
```


# 10
Entry from Alexandria: a geometry-optimized LaAg2Cl6 structure (PBE-GGA). Values from VASP.

The volume is 30.3 A^3/atom. As for the energy: -32.45 eV for the cell shown. The energy above the most stable polymorph in this dataset is 14 meV per atom. Its space group is R-3 (148).

Structure (Quantum ESPRESSO input):
```
&SYSTEM
  ibrav = 0, nat = 9, ntyp = 3
/
ATOMIC_SPECIES
Cl 35.45 Cl.upf
La 138.91 La.upf
Ag 107.87 Ag.upf
ATOMIC_POSITIONS crystal
Cl 0.2161 0.9173 0.2720
Cl 0.9173 0.5947 0.2720
Cl 0.0827 0.4053 0.7280
La 0.0000 0.0000 0.0000
Ag 0.1801 0.1801 0.4596
Cl 0.5947 0.2161 0.2720
Cl 0.7839 0.0827 0.7280
Ag 0.8199 0.8199 0.5404
Cl 0.4053 0.7839 0.7280
CELL_PARAMETERS angstrom
-1.9624 -1.5187 -6.4006
2.7902 -5.3545 -3.2662
-4.5269 -6.2676 -0.8062
```


# 11
Entry from Alexandria: a geometry-optimized Be2SnAu2 structure (PBE-GGA). Values from VASP.

The volume is 16.6 A^3/atom. As for the energy: -18.42 eV for the cell shown. Its calculated formation energy is -0.083 eV per atom. The energy above the most stable polymorph in this dataset is 0 meV per atom. Its space group is I4/mmm (139).

Structure (Quantum ESPRESSO input):
```
&SYSTEM
  ibrav = 0, nat = 5, ntyp = 3
/
ATOMIC_SPECIES
Be 9.01 Be.upf
Au 196.97 Au.upf
Sn 118.71 Sn.upf
ATOMIC_POSITIONS crystal
Be 0.2500 0.7500 0.5000
Be 0.7500 0.2500 0.5000
Au 0.3691 0.3691 0.2618
Sn 0.0000 0.0000 0.0000
Au 0.6309 0.6309 0.7382
CELL_PARAMETERS angstrom
-2.4925 0.5222 -2.5260
2.3437 -1.0086 -2.5211
-2.0097 -6.3551 -1.8776
```


# 12
Entry from Alexandria: a geometry-optimized SrErAlTl structure (PBE-GGA). Values from VASP.

The volume is 28.4 A^3/atom. As for the energy: -13.21 eV for the cell shown. Its calculated formation energy is -0.214 eV per atom. Its space group is F-43m (216).

Structure (Quantum ESPRESSO input):
```
&SYSTEM
  ibrav = 0, nat = 4, ntyp = 4
/
ATOMIC_SPECIES
Al 26.98 Al.upf
Tl 204.38 Tl.upf
Sr 87.62 Sr.upf
Er 167.26 Er.upf
ATOMIC_POSITIONS crystal
Al 0.5000 0.5000 0.5000
Tl 0.0000 0.0000 0.0000
Sr 0.7500 0.7500 0.7500
Er 0.2500 0.2500 0.2500
CELL_PARAMETERS angstrom
5.4375 0.0000 0.0000
2.7188 4.7090 0.0000
2.7188 1.5697 4.4397
```


- What is the energy in the fourth record?
  -109.17 eV for the cell shown


- energy of number 1 (Zn4CoNi)?
  -37.19 eV for the cell shown


- Which of these has the lowest energy?
  Tm2ZrS6


- Which of these has the lowest energy?
  Tm2ZrS6